DFT (PBE) results for crystalline Y2CrP at its relaxed geometry.

Calculated values
* formation energy from the elements: -0.541 eV per atom
* magnetic moment: 0.65 Bohr magnetons per cell
* final energy: -60.254 eV/cell

POSCAR file:
```
Y2CrP
1.0
6.723 -1.978 0.000
6.723 1.978 0.000
-3.697 0.000 6.827
Y Cr P
4 2 2
Direct
0.000 0.000 0.000 Y
0.234 0.234 0.815 Y
0.526 0.526 0.405 Y
0.761 0.761 0.243 Y
0.375 0.375 0.612 Cr
0.970 0.970 0.621 Cr
0.174 0.174 0.395 P
0.584 0.584 0.819 P
```